# MnPIr2

An optimized crystal structure of MnPIr2 (PBE-GGA, Alexandria).

## Properties
V (Å³/atom): 14.35
Fermi-level density of states (states/eV/atom): 0.5697
Formation enthalpy at 0 K (meV/atom): 203

```
MnPIr2
1.0
1.4109 -2.4044 0.0000
1.4109 2.4044 0.0000
0.0000 0.0000 8.4618
Mn P Ir
1 1 2
Direct
0.0000 0.0000 0.0000
0.0000 0.0000 0.5000
0.5000 0.5000 0.2599
0.5000 0.5000 0.7401
```

=====

# CuP2Ir2

An optimized crystal structure of CuP2Ir2 (PBE-GGA, Alexandria).

## Properties
V (Å³/atom): 15.39
Fermi-level density of states (states/eV/atom): 0.3549
Formation enthalpy at 0 K (meV/atom): -18

```
CuP2Ir2
1.0
-1.8791 1.8791 5.4487
1.8791 -1.8791 5.4487
1.8791 1.8791 -5.4487
Cu P Ir
1 2 2
Direct
0.0000 0.0000 0.0000
0.2500 0.7500 0.5000
0.7500 0.2500 0.5000
0.3739 0.3739 0.0000
0.6261 0.6261 0.0000
```

=====

# Cs2SiRu

An optimized crystal structure of Cs2SiRu (PBE-GGA, Alexandria).

## Properties
Uncorrected formation energy (eV/f.u.): 6.31
V (Å³/atom): 39.57
Fermi-level density of states (states/eV/atom): 2.3297

```
Cs2SiRu
1.0
0.0000 4.2933 4.2933
4.2933 0.0000 4.2933
4.2933 4.2933 0.0000
Cs Si Ru
2 1 1
Direct
0.2500 0.2500 0.2500
0.7500 0.7500 0.7500
0.0000 0.0000 0.0000
0.5000 0.5000 0.5000
```

=====

# GdTlRh

An optimized crystal structure of GdTlRh (PBE-GGA, Alexandria).

## Properties
V (Å³/atom): 24.97
Fermi-level density of states (states/eV/atom): 0.4750
Formation enthalpy at 0 K (meV/atom): -452
Distance to the lowest polymorph of the same formula (meV per atom): 0

```
GdTlRh
1.0
0.0000 3.3458 3.3458
3.3458 0.0000 3.3458
3.3458 3.3458 0.0000
Gd Tl Rh
1 1 1
Direct
0.0000 0.0000 0.0000
0.5000 0.5000 0.5000
0.2500 0.2500 0.2500
```

=====

# NaScBr2O

An optimized crystal structure of NaScBr2O (PBE-GGA, Alexandria).

## Properties
Uncorrected formation energy (eV/f.u.): -2.37
V (Å³/atom): 21.93
Fermi-level density of states (states/eV/atom): 1.3676

```
NaScBr2O
1.0
5.1253 0.0000 0.0000
0.0000 5.1253 0.0000
0.0000 0.0000 4.1737
Na Sc Br O
1 1 2 1
Direct
0.0000 0.0000 0.0000
0.5000 0.5000 0.5000
0.0000 0.5000 0.0000
0.5000 0.0000 0.0000
0.0000 0.0000 0.5000
```

=====

# As2PtRh

An optimized crystal structure of As2PtRh (PBE-GGA, Alexandria).

## Properties
V (Å³/atom): 18.14
Fermi-level density of states (states/eV/atom): 0.6510
Formation enthalpy at 0 K (meV/atom): -172
Distance to the lowest polymorph of the same formula (meV per atom): 94

```
As2PtRh
1.0
3.0705 0.0000 0.0000
0.0000 3.0705 0.0000
0.0000 0.0000 7.6945
As Pt Rh
2 1 1
Direct
0.0000 0.0000 0.0000
0.5000 0.5000 0.3906
0.0000 0.0000 0.5689
0.5000 0.5000 0.8309
```

=====

# ScGaSn

An optimized crystal structure of ScGaSn (PBE-GGA, Alexandria).

## Properties
V (Å³/atom): 22.23
Fermi-level density of states (states/eV/atom): 0.1537
Formation enthalpy at 0 K (meV/atom): -363
Distance to the lowest polymorph of the same formula (meV per atom): 80

```
ScGaSn
1.0
4.3020 0.0000 0.0000
-2.1510 3.7256 0.0000
0.0000 0.0000 4.1619
Sc Ga Sn
1 1 1
Direct
0.0000 0.0000 0.0000
0.6667 0.3333 0.6960
0.3333 0.6667 0.4273
```

=====

# SrGeH2F8

An optimized crystal structure of SrGeH2F8 (PBE-GGA, Alexandria).

## Properties
V (Å³/atom): 13.53
VASP energy (eV for the cell shown): -58.16
Fermi-level density of states (states/eV/atom): 0.0000

```
SrGeH2F8
1.0
4.2826 -2.7691 0.0000
4.2826 2.7691 0.0000
-1.1596 0.0000 6.8450
Sr Ge H F
1 1 2 8
Direct
0.0000 0.0000 0.0000
0.0000 0.0000 0.5000
0.2696 0.2696 0.7648
0.7304 0.7304 0.2352
0.2151 0.7646 0.6902
0.2171 0.2171 0.5681
0.2354 0.7849 0.3098
0.2884 0.2884 0.9149
0.7116 0.7116 0.0851
0.7646 0.2151 0.6902
0.7829 0.7829 0.4319
0.7849 0.2354 0.3098
```

=====

# La6FePt2

An optimized crystal structure of La6FePt2 (PBE-GGA, Alexandria).

## Properties
V (Å³/atom): 30.28
Fermi-level density of states (states/eV/atom): 1.1369
Formation enthalpy at 0 K (meV/atom): -543

```
La6FePt2
1.0
6.9291 0.0000 0.0000
0.0000 7.5506 0.0000
-6.1646 0.0000 10.4186
La Fe Pt
12 2 4
Direct
0.0951 0.0451 0.2462
0.0951 0.4549 0.7462
0.2440 0.6869 0.0739
0.2440 0.8131 0.5739
0.3729 0.1775 0.0608
0.3729 0.3225 0.5608
0.6271 0.6775 0.4392
0.6271 0.8225 0.9392
0.7560 0.1869 0.4261
0.7560 0.3131 0.9261
0.9049 0.5451 0.2538
0.9049 0.9549 0.7538
0.0000 0.0000 0.0000
0.0000 0.5000 0.5000
0.3233 0.1111 0.7717
0.3233 0.3889 0.2717
0.6767 0.6111 0.7283
0.6767 0.8889 0.2283
```

=====

# HgMoSe2

An optimized crystal structure of HgMoSe2 (PBE-GGA, Alexandria).

## Properties
Uncorrected formation energy (eV/f.u.): 2.01
V (Å³/atom): 25.62
Fermi-level density of states (states/eV/atom): 0.5161

```
HgMoSe2
1.0
-1.8979 1.8979 7.1120
1.8979 -1.8979 7.1120
1.8979 1.8979 -7.1120
Hg Mo Se
1 1 2
Direct
0.0000 0.0000 0.0000
0.2500 0.7500 0.5000
0.5000 0.5000 0.0000
0.7500 0.2500 0.5000
```

=====

# CdBi2F2

An optimized crystal structure of CdBi2F2 (PBE-GGA, Alexandria).

## Properties
Uncorrected formation energy (eV/f.u.): -4.47
V (Å³/atom): 20.84
Fermi-level density of states (states/eV/atom): 0.4242
Distance to the lowest polymorph of the same formula (meV per atom): 0

```
CdBi2F2
1.0
8.2057 0.0000 0.0000
0.0000 8.2057 0.0000
0.0000 0.0000 3.0955
Cd Bi F
2 4 4
Direct
0.0000 0.0000 0.0000
0.5000 0.5000 0.0000
0.1988 0.3012 0.5000
0.3012 0.8012 0.5000
0.6988 0.1988 0.5000
0.8012 0.6988 0.5000
0.1249 0.6249 0.0000
0.3751 0.1249 0.0000
0.6249 0.8751 0.0000
0.8751 0.3751 0.0000
```

=====

# PuPa5Ge4

An optimized crystal structure of PuPa5Ge4 (PBE-GGA, Alexandria).

## Properties
V (Å³/atom): 23.71
Fermi-level density of states (states/eV/atom): 1.3664
Formation enthalpy at 0 K (meV/atom): -241

```
PuPa5Ge4
1.0
9.8176 0.0000 0.0000
0.0000 11.2034 0.0000
0.0000 0.0000 4.3107
Pu Pa Ge
2 10 8
Direct
0.2500 0.2500 0.0582
0.7500 0.7500 0.9418
0.0762 0.0960 0.7674
0.0762 0.4040 0.7674
0.2500 0.7500 0.2248
0.4238 0.0960 0.7674
0.4238 0.4040 0.7674
0.5762 0.5960 0.2326
0.5762 0.9040 0.2326
0.7500 0.2500 0.7752
0.9238 0.5960 0.2326
0.9238 0.9040 0.2326
0.0443 0.7500 0.7292
0.2500 0.0008 0.2746
0.2500 0.4992 0.2746
0.4557 0.7500 0.7292
0.5443 0.2500 0.2708
0.7500 0.5008 0.7254
0.7500 0.9992 0.7254
0.9557 0.2500 0.2708
```

=====

Repeat the second record exactly.
# CuP2Ir2

An optimized crystal structure of CuP2Ir2 (PBE-GGA, Alexandria).

## Properties
V (Å³/atom): 15.39
Fermi-level density of states (states/eV/atom): 0.3549
Formation enthalpy at 0 K (meV/atom): -18

```
CuP2Ir2
1.0
-1.8791 1.8791 5.4487
1.8791 -1.8791 5.4487
1.8791 1.8791 -5.4487
Cu P Ir
1 2 2
Direct
0.0000 0.0000 0.0000
0.2500 0.7500 0.5000
0.7500 0.2500 0.5000
0.3739 0.3739 0.0000
0.6261 0.6261 0.0000
```

=====

Which value of Fermi-level density of states does entry 2 give?
0.3549 states/eV/atom

=====

Number 6 is which compound?
As2PtRh